Below is crystalline Tl2AgAsF6 at its relaxed geometry, with properties calculated at the PBE-GGA level.

- Volume: 18.32 Å³/atom
- E_form (uncorrected): -1746 meV/atom
- Final energy: -0.30079 Ry per atom

```
data_Tl2AgAsF6
_space_group_name_H-M_alt 'C 1 2/m 1'
_space_group_IT_number 12
_space_group_name_Hall '-C 2y'
_cell_length_a 9.013
_cell_length_b 9.009
_cell_length_c 6.371
_cell_angle_alpha 90.00
_cell_angle_beta 134.90
_cell_angle_gamma 90.00
loop_
_atom_site_label
_atom_site_type_symbol
_atom_site_fract_x
_atom_site_fract_y
_atom_site_fract_z
Tl1 Tl 0.000 0.250 0.000
Ag1 Ag 0.000 0.000 0.500
As1 As 0.000 0.500 0.500
F1 F 0.000 0.270 0.500
F2 F 0.229 0.500 0.499
F3 F 0.229 0.500 0.959
```